1.
A plane-wave DFT calculation with PBE-GGA was carried out for an optimized crystal structure of LiGd2Tl.

## Properties
Formation energy from the elements   -186 meV per atom
Space-group type   Fm-3m (225)
DOS at the Fermi energy   6.13 states/eV per cell

a = 5.3528 Å, b = 5.3528 Å, c = 5.3528 Å
α = 60.00°, β = 60.00°, γ = 60.00°
With the nearest neighbours (Å) after each atom.
Atoms (fractional coordinates):
Gd1 0.5000 0.5000 0.5000  4 Li 3.28, 4 Tl 3.28
Gd2 0.0000 0.0000 0.0000  4 Li 3.28, 4 Tl 3.28
Li1 0.7500 0.7500 0.7500  8 Gd 3.28
Tl1 0.2500 0.2500 0.2500  8 Gd 3.28

---

2.
A plane-wave DFT calculation with PBE-GGA was carried out for an optimized crystal structure of LiGdTl2.

## Properties
Formation energy from the elements   -315 meV per atom
Space-group type   P4/mmm (123)
DOS at the Fermi energy   2.60 states/eV per cell

a = 3.5910 Å, b = 3.5910 Å, c = 7.5206 Å
α = 90.00°, β = 90.00°, γ = 90.00°
With the nearest neighbours (Å) after each atom.
Atoms (fractional coordinates):
Tl1 0.0000 0.0000 0.2147  4 Li 3.01, 1 Tl 3.23, 4 Gd 3.32
Tl2 0.0000 0.0000 0.7853  4 Li 3.01, 1 Tl 3.23, 4 Gd 3.32
Gd1 0.5000 0.5000 0.5000  8 Tl 3.32, 4 Gd 3.59
Li1 0.5000 0.5000 0.0000  8 Tl 3.01

---

3.
A plane-wave DFT calculation with PBE-GGA was carried out for an optimized crystal structure of LiGd2Tl.

## Properties
Formation energy from the elements   -212 meV per atom
Space-group type   P4/mmm (123)
DOS at the Fermi energy   3.07 states/eV per cell

a = 4.2622 Å, b = 4.9958 Å, c = 4.9958 Å
α = 90.00°, β = 90.00°, γ = 90.00°
With the nearest neighbours (Å) after each atom.
Atoms (fractional coordinates):
Li1 0.5000 0.5000 0.5000  8 Gd 3.28, 4 Tl 3.53
Tl1 0.5000 0.0000 0.0000  8 Gd 3.28, 4 Li 3.53
Gd1 0.0000 0.0000 0.5000  4 Li 3.28, 4 Tl 3.28, 4 Gd 3.53
Gd2 0.0000 0.5000 0.0000  4 Tl 3.28, 4 Li 3.28, 4 Gd 3.53

---

4.
A plane-wave DFT calculation with PBE-GGA was carried out for an optimized crystal structure of LiGdTl2.

## Properties
Formation energy from the elements   -328 meV per atom
Space-group type   Fm-3m (225)
DOS at the Fermi energy   2.33 states/eV per cell

a = 5.2150 Å, b = 5.2150 Å, c = 5.2150 Å
α = 60.00°, β = 60.00°, γ = 60.00°
With the nearest neighbours (Å) after each atom.
Atoms (fractional coordinates):
Gd1 0.7500 0.7500 0.7500  8 Tl 3.19
Tl1 0.5000 0.5000 0.5000  4 Li 3.19, 4 Gd 3.19
Tl2 0.0000 0.0000 0.0000  4 Gd 3.19, 4 Li 3.19
Li1 0.2500 0.2500 0.2500  8 Tl 3.19